(1)
! GaCo2O4 | the Open Quantum Materials Database | PBE+U | optimized geometry; values from VASP
! Symmetry = P4_122 (91)
! ΔE to the lowest computed polymorph = 103 meV/atom
&SYSTEM
  ibrav = 0, nat = 28, ntyp = 3
/
ATOMIC_SPECIES
Co 58.93 Co.upf
Ga 69.72 Ga.upf
O 16.00 O.upf
ATOMIC_POSITIONS crystal
Co 0.500 0.255 0.000
Co 0.252 0.748 0.125
Co 0.745 0.500 0.250
Co 0.252 0.252 0.375
Co 0.500 0.745 0.500
Co 0.748 0.252 0.625
Co 0.255 0.500 0.750
Co 0.748 0.748 0.875
Ga 0.000 0.255 0.000
Ga 0.745 0.000 0.250
Ga 0.000 0.745 0.500
Ga 0.255 0.000 0.750
O 0.743 0.028 0.008
O 0.743 0.478 0.016
O 0.522 0.257 0.234
O 0.972 0.257 0.242
O 0.972 0.743 0.258
O 0.522 0.743 0.266
O 0.743 0.522 0.484
O 0.743 0.972 0.492
O 0.257 0.972 0.508
O 0.257 0.522 0.516
O 0.478 0.743 0.734
O 0.028 0.743 0.742
O 0.028 0.257 0.758
O 0.478 0.257 0.766
O 0.257 0.478 0.984
O 0.257 0.028 0.992
CELL_PARAMETERS angstrom
-0.412 5.758 -0.744
-5.802 -0.434 -0.142
-0.276 1.031 8.136

---

(2)
! GaCoO3 | the Open Quantum Materials Database | PBE+U | optimized geometry; values from VASP
! Symmetry = I4/mcm (140)
! Energy = -5.536 eV/atom
&SYSTEM
  ibrav = 0, nat = 10, ntyp = 3
/
ATOMIC_SPECIES
Co 58.93 Co.upf
Ga 69.72 Ga.upf
O 16.00 O.upf
ATOMIC_POSITIONS crystal
Co 0.750 0.250 0.500
Co 0.250 0.750 0.500
Ga 0.000 0.000 0.000
Ga 0.500 0.500 0.000
O 0.250 0.250 0.000
O 0.750 0.750 0.000
O 0.851 0.351 0.203
O 0.351 0.149 0.500
O 0.649 0.851 0.500
O 0.149 0.649 0.797
CELL_PARAMETERS angstrom
0.368 -4.121 -3.128
4.057 -1.570 2.825
-4.506 0.942 2.389

---

(3)
! GaCoO3 | the Open Quantum Materials Database | PBE+U | optimized geometry; values from VASP
! Symmetry = Pm-3m (221)
! Energy = -5.197 eV/atom
&SYSTEM
  ibrav = 0, nat = 5, ntyp = 3
/
ATOMIC_SPECIES
Co 58.93 Co.upf
Ga 69.72 Ga.upf
O 16.00 O.upf
ATOMIC_POSITIONS crystal
Co 0.000 0.000 0.000
Ga 0.500 0.500 0.500
O 0.500 0.500 0.000
O 0.500 0.000 0.500
O 0.000 0.500 0.500
CELL_PARAMETERS angstrom
-1.406 1.998 2.882
-3.492 -1.090 -0.948
0.330 -3.016 2.252

---

(4)
! GaCoO3 | the Open Quantum Materials Database | PBE+U | optimized geometry; values from VASP
! Symmetry = Imma (74)
! Energy = -5.849 eV/atom
&SYSTEM
  ibrav = 0, nat = 10, ntyp = 3
/
ATOMIC_SPECIES
Co 58.93 Co.upf
Ga 69.72 Ga.upf
O 16.00 O.upf
ATOMIC_POSITIONS crystal
Co 0.809 0.559 0.250
Co 0.191 0.441 0.750
Ga 0.000 0.000 0.000
Ga 0.500 0.000 0.500
O 0.160 0.500 0.160
O 0.444 0.194 0.250
O 0.840 0.000 0.340
O 0.160 0.000 0.660
O 0.556 0.806 0.750
O 0.840 0.500 0.840
CELL_PARAMETERS angstrom
-2.659 3.905 2.414
2.659 -3.905 2.414
2.659 3.905 -2.414

---

(5)
! Ga2Co2O5 | the Open Quantum Materials Database | PBE+U | optimized geometry; values from VASP
! Symmetry = P4/mmm (123)
! Energy = -5.361 eV/atom
&SYSTEM
  ibrav = 0, nat = 9, ntyp = 3
/
ATOMIC_SPECIES
Co 58.93 Co.upf
Ga 69.72 Ga.upf
O 16.00 O.upf
ATOMIC_POSITIONS crystal
Co 0.254 0.500 0.500
Co 0.746 0.500 0.500
Ga 0.000 0.000 0.000
Ga 0.500 0.000 0.000
O 0.163 0.500 0.000
O 0.837 0.500 0.000
O 0.163 0.000 0.500
O 0.837 0.000 0.500
O 0.500 0.500 0.500
CELL_PARAMETERS angstrom
7.562 0.000 0.000
0.000 3.589 0.000
0.000 0.000 3.589

---

(6)
! GaCo2O4 | the Open Quantum Materials Database | PBE+U | optimized geometry; values from VASP
! Symmetry = P4_122 (91)
! ΔE to the lowest computed polymorph = 0 meV/atom
&SYSTEM
  ibrav = 0, nat = 28, ntyp = 3
/
ATOMIC_SPECIES
Co 58.93 Co.upf
Ga 69.72 Ga.upf
O 16.00 O.upf
ATOMIC_POSITIONS crystal
Co 0.000 0.748 0.000
Co 0.500 0.756 0.000
Co 0.251 0.000 0.250
Co 0.244 0.500 0.250
Co 0.500 0.244 0.500
Co 0.000 0.251 0.500
Co 0.748 0.000 0.750
Co 0.756 0.500 0.750
Ga 0.748 0.252 0.125
Ga 0.748 0.748 0.375
Ga 0.252 0.748 0.625
Ga 0.252 0.252 0.875
O 0.744 0.988 0.001
O 0.257 0.509 0.008
O 0.491 0.743 0.242
O 0.012 0.256 0.249
O 0.012 0.744 0.251
O 0.491 0.257 0.258
O 0.257 0.491 0.492
O 0.744 0.012 0.499
O 0.256 0.012 0.501
O 0.743 0.491 0.508
O 0.509 0.257 0.742
O 0.988 0.744 0.749
O 0.988 0.256 0.751
O 0.509 0.743 0.758
O 0.743 0.509 0.992
O 0.256 0.988 0.999
CELL_PARAMETERS angstrom
5.870 0.000 0.000
0.000 5.870 0.000
0.000 0.000 8.298

---

(7)
! GaCoO3 | the Open Quantum Materials Database | PBE+U | optimized geometry; values from VASP
! Symmetry = Pm-3m (221)
! Energy = -4.135 eV/atom
&SYSTEM
  ibrav = 0, nat = 5, ntyp = 3
/
ATOMIC_SPECIES
Co 58.93 Co.upf
Ga 69.72 Ga.upf
O 16.00 O.upf
ATOMIC_POSITIONS crystal
Co 0.500 0.500 0.500
Ga 0.000 0.000 0.000
O 0.500 0.500 0.000
O 0.500 0.000 0.500
O 0.000 0.500 0.500
CELL_PARAMETERS angstrom
4.487 0.000 0.000
0.000 4.487 0.000
0.000 0.000 4.487

---

(8)
! GaCoPO | the Open Quantum Materials Database | PBE+U | optimized geometry; values from VASP
! Symmetry = P4/nmm (129)
! ΔE to the lowest computed polymorph = 195 meV/atom
&SYSTEM
  ibrav = 0, nat = 8, ntyp = 4
/
ATOMIC_SPECIES
Co 58.93 Co.upf
Ga 69.72 Ga.upf
O 16.00 O.upf
P 30.97 P.upf
ATOMIC_POSITIONS crystal
Co 0.000 0.500 0.051
Co 0.500 0.000 0.949
Ga 0.000 0.000 0.500
Ga 0.500 0.500 0.500
O 0.000 0.000 0.000
O 0.500 0.500 0.000
P 0.000 0.500 0.332
P 0.500 0.000 0.668
CELL_PARAMETERS angstrom
-3.067 -1.785 -1.773
1.101 -3.466 1.585
-4.857 1.573 6.816

---

(9)
! GaCoPO | the Open Quantum Materials Database | PBE+U | optimized geometry; values from VASP
! Symmetry = Pmc2_1 (26)
! ΔE to the lowest computed polymorph = 0 meV/atom
&SYSTEM
  ibrav = 0, nat = 8, ntyp = 4
/
ATOMIC_SPECIES
Co 58.93 Co.upf
Ga 69.72 Ga.upf
O 16.00 O.upf
P 30.97 P.upf
ATOMIC_POSITIONS crystal
Co 0.000 0.706 0.464
Co 0.000 0.294 0.964
Ga 0.500 0.853 0.029
Ga 0.500 0.147 0.529
O 0.500 0.851 0.379
O 0.500 0.149 0.879
P 0.000 0.321 0.382
P 0.000 0.679 0.882
CELL_PARAMETERS angstrom
-0.360 0.510 -3.684
-0.026 -5.935 -0.819
-5.576 -0.050 0.537

---

(10)
! GaCoPO | the Open Quantum Materials Database | PBE+U | optimized geometry; values from VASP
! Symmetry = Pmc2_1 (26)
! ΔE to the lowest computed polymorph = 17 meV/atom
&SYSTEM
  ibrav = 0, nat = 8, ntyp = 4
/
ATOMIC_SPECIES
Co 58.93 Co.upf
Ga 69.72 Ga.upf
O 16.00 O.upf
P 30.97 P.upf
ATOMIC_POSITIONS crystal
Co 0.000 0.374 0.035
Co 0.000 0.626 0.535
Ga 0.500 0.177 0.476
Ga 0.500 0.823 0.976
O 0.000 0.326 0.378
O 0.000 0.674 0.878
P 0.500 0.814 0.366
P 0.500 0.186 0.866
CELL_PARAMETERS angstrom
-2.947 -0.839 -0.975
-1.532 -1.396 5.833
-1.884 5.627 0.852

---

(11)
! GaCoPO | the Open Quantum Materials Database | PBE+U | optimized geometry; values from VASP
! Symmetry = P4/nmm (129)
! ΔE to the lowest computed polymorph = 181 meV/atom
&SYSTEM
  ibrav = 0, nat = 8, ntyp = 4
/
ATOMIC_SPECIES
Co 58.93 Co.upf
Ga 69.72 Ga.upf
O 16.00 O.upf
P 30.97 P.upf
ATOMIC_POSITIONS crystal
Co 0.750 0.250 0.500
Co 0.250 0.750 0.500
Ga 0.250 0.250 0.112
Ga 0.750 0.750 0.888
O 0.750 0.250 0.000
O 0.250 0.750 0.000
P 0.750 0.750 0.349
P 0.250 0.250 0.651
CELL_PARAMETERS angstrom
3.615 0.000 0.000
0.000 3.615 0.000
0.000 0.000 8.049